DFT (PBE) results for a relaxed structure of Pr2YHoTm6.

SG: C2/c

Cell: 8.726 8.726 9.642 Å, 94.67 94.67 118.32°
Element x y z (fractional)
Pr 0.193 0.299 0.043
Pr 0.299 0.193 0.543
Pr 0.701 0.807 0.457
Pr 0.807 0.701 0.957
Y 0.017 0.983 0.250
Y 0.983 0.017 0.750
Ho 0.406 0.594 0.750
Ho 0.594 0.406 0.250
Tm 0.024 0.577 0.188
Tm 0.127 0.742 0.558
Tm 0.258 0.873 0.942
Tm 0.291 0.502 0.382
Tm 0.423 0.976 0.312
Tm 0.498 0.709 0.118
Tm 0.502 0.291 0.882
Tm 0.577 0.024 0.688
Tm 0.709 0.498 0.618
Tm 0.742 0.127 0.058
Tm 0.873 0.258 0.442
Tm 0.976 0.423 0.812

DFT (PBE) results for a relaxed structure of PrYHoTm2.

SG: Cmcm

Cell: 7.095 7.095 7.208 Å, 90.00 90.00 107.77°
Element x y z (fractional)
Pr 0.228 0.772 0.750
Pr 0.772 0.228 0.250
Y 0.498 0.502 0.250
Y 0.502 0.498 0.750
Ho 0.219 0.781 0.250
Ho 0.781 0.219 0.750
Tm 0.188 0.188 0.000
Tm 0.188 0.188 0.500
Tm 0.812 0.812 0.000
Tm 0.812 0.812 0.500

DFT (PBE) results for a relaxed structure of PrYHo5Tm2.

SG: Cmc2_1

Cell: 10.250 10.250 10.553 Å, 90.00 90.00 148.39°
Element x y z (fractional)
Pr 0.083 0.917 0.500
Pr 0.917 0.083 0.000
Y 0.300 0.700 0.062
Y 0.700 0.300 0.562
Ho 0.022 0.978 0.786
Ho 0.112 0.888 0.072
Ho 0.201 0.799 0.761
Ho 0.218 0.782 0.361
Ho 0.482 0.518 0.074
Ho 0.518 0.482 0.574
Ho 0.782 0.218 0.861
Ho 0.799 0.201 0.261
Ho 0.888 0.112 0.572
Ho 0.978 0.022 0.286
Tm 0.386 0.614 0.369
Tm 0.389 0.611 0.785
Tm 0.611 0.389 0.285
Tm 0.614 0.386 0.869

DFT (PBE) results for a relaxed structure of Pr2YHo2Tm.

SG: Pmma

Cell: 7.049 5.657 9.834 Å, 90.00 90.00 90.00°
Element x y z (fractional)
Pr 0.000 0.000 0.000
Pr 0.250 0.500 0.175
Pr 0.500 0.000 0.000
Pr 0.750 0.500 0.825
Y 0.000 0.500 0.500
Y 0.500 0.500 0.500
Ho 0.250 0.000 0.334
Ho 0.250 0.500 0.835
Ho 0.750 0.000 0.666
Ho 0.750 0.500 0.165
Tm 0.250 0.000 0.660
Tm 0.750 0.000 0.340

Total DFT energy (no corrections) for every record listed, in sequence, given in eV per atom: -4.625; -4.571; -4.620; -4.875.
ΔE_f for every record listed, in sequence, given in eV/atom: 0.118; 0.382; 0.166; 0.066.
Mass density for every record listed, in sequence, given in g/cm3: 8.06; 7.04; 7.96; 7.36.